No. 1
BAsPtSe2 | GGA-PBE | relaxed

CIF file:
```
data_BAsPtSe2
_chemical_formula_sum 'B1 As1 Pt1 Se2'
_cell_length_a 4.420
_cell_length_b 4.420
_cell_length_c 4.264
_cell_angle_alpha 90.00
_cell_angle_beta 90.00
_cell_angle_gamma 90.00
_symmetry_space_group_name_H-M 'P 1'
_symmetry_Int_Tables_number 1
loop_
_symmetry_equiv_pos_as_xyz
'x,y,z'
loop_
_atom_site_label
_atom_site_fract_x
_atom_site_fract_y
_atom_site_fract_z
B1 0.000 0.000 0.000
As1 0.000 0.000 0.500
Pt1 0.500 0.500 0.500
Se1 0.000 0.500 0.000
Se2 0.500 0.000 0.000
```

Output
- ΔE to the lowest computed polymorph (eV/atom) = 0.000
- E (eV per atom) = -4.05
- SG = P4/mmm



No. 2
BAs2PtSe | GGA-PBE | relaxed

CIF file:
```
data_BAs2PtSe
_chemical_formula_sum 'B1 As2 Pt1 Se1'
_cell_length_a 4.803
_cell_length_b 4.803
_cell_length_c 5.337
_cell_angle_alpha 90.00
_cell_angle_beta 90.00
_cell_angle_gamma 90.00
_symmetry_space_group_name_H-M 'P 1'
_symmetry_Int_Tables_number 1
loop_
_symmetry_equiv_pos_as_xyz
'x,y,z'
loop_
_atom_site_label
_atom_site_fract_x
_atom_site_fract_y
_atom_site_fract_z
B1 0.000 0.000 0.000
As1 0.000 0.500 0.500
As2 0.500 0.000 0.500
Pt1 0.500 0.500 0.500
Se1 0.500 0.500 0.000
```

Output
- ΔE to the lowest computed polymorph (eV/atom) = 0.629
- E (eV per atom) = -3.73
- SG = P4/mmm



No. 3
BAs2PtSe | GGA-PBE | relaxed

CIF file:
```
data_BAs2PtSe
_chemical_formula_sum 'B1 As2 Pt1 Se1'
_cell_length_a 4.315
_cell_length_b 4.315
_cell_length_c 4.371
_cell_angle_alpha 90.00
_cell_angle_beta 90.00
_cell_angle_gamma 90.00
_symmetry_space_group_name_H-M 'P 1'
_symmetry_Int_Tables_number 1
loop_
_symmetry_equiv_pos_as_xyz
'x,y,z'
loop_
_atom_site_label
_atom_site_fract_x
_atom_site_fract_y
_atom_site_fract_z
B1 0.000 0.000 0.000
As1 0.000 0.500 0.000
As2 0.500 0.000 0.000
Pt1 0.500 0.500 0.500
Se1 0.000 0.000 0.500
```

Output
- ΔE to the lowest computed polymorph (eV/atom) = 0.000
- E (eV per atom) = -4.36
- SG = P4/mmm



No. 4
BAsPtSe2 | GGA-PBE | relaxed

CIF file:
```
data_BAsPtSe2
_chemical_formula_sum 'B1 As1 Pt1 Se2'
_cell_length_a 5.187
_cell_length_b 5.187
_cell_length_c 4.654
_cell_angle_alpha 90.00
_cell_angle_beta 90.00
_cell_angle_gamma 90.00
_symmetry_space_group_name_H-M 'P 1'
_symmetry_Int_Tables_number 1
loop_
_symmetry_equiv_pos_as_xyz
'x,y,z'
loop_
_atom_site_label
_atom_site_fract_x
_atom_site_fract_y
_atom_site_fract_z
B1 0.000 0.000 0.000
As1 0.500 0.500 0.000
Pt1 0.500 0.500 0.500
Se1 0.000 0.500 0.500
Se2 0.500 0.000 0.500
```

Output
- ΔE to the lowest computed polymorph (eV/atom) = 0.505
- E (eV per atom) = -3.54
- SG = P4/mmm



No. 5
Sm2BAsPt6 | GGA-PBE | relaxed

CIF file:
```
data_Sm2BAsPt6
_chemical_formula_sum 'Sm4 B2 As2 Pt12'
_cell_length_a 5.758
_cell_length_b 8.549
_cell_length_c 7.477
_cell_angle_alpha 90.00
_cell_angle_beta 90.00
_cell_angle_gamma 90.00
_symmetry_space_group_name_H-M 'P 1'
_symmetry_Int_Tables_number 1
loop_
_symmetry_equiv_pos_as_xyz
'x,y,z'
loop_
_atom_site_label
_atom_site_fract_x
_atom_site_fract_y
_atom_site_fract_z
Sm1 0.250 0.031 0.223
Sm2 0.250 0.469 0.223
Sm3 0.750 0.531 0.777
Sm4 0.750 0.969 0.777
B1 0.250 0.250 0.702
B2 0.750 0.750 0.298
As1 0.250 0.750 0.819
As2 0.750 0.250 0.181
Pt1 0.006 0.750 0.499
Pt2 0.010 0.250 0.919
Pt3 0.250 0.000 0.653
Pt4 0.250 0.500 0.653
Pt5 0.490 0.250 0.919
Pt6 0.494 0.750 0.499
Pt7 0.506 0.250 0.501
Pt8 0.510 0.750 0.081
Pt9 0.750 0.000 0.347
Pt10 0.750 0.500 0.347
Pt11 0.990 0.750 0.081
Pt12 0.994 0.250 0.501
```

Output
- ΔE_f (eV/atom) = -0.843
- E (eV per atom) = -6.54
- SG = Pmmn



No. 6
Sm3B2AsPt9 | GGA-PBE | relaxed

CIF file:
```
data_Sm3B2AsPt9
_chemical_formula_sum 'Sm3 B2 As1 Pt9'
_cell_length_a 5.803
_cell_length_b 5.803
_cell_length_c 9.230
_cell_angle_alpha 90.00
_cell_angle_beta 90.00
_cell_angle_gamma 120.00
_symmetry_space_group_name_H-M 'P 1'
_symmetry_Int_Tables_number 1
loop_
_symmetry_equiv_pos_as_xyz
'x,y,z'
loop_
_atom_site_label
_atom_site_fract_x
_atom_site_fract_y
_atom_site_fract_z
Sm1 0.000 0.000 0.000
Sm2 0.333 0.667 0.606
Sm3 0.667 0.333 0.394
B1 0.333 0.667 0.149
B2 0.667 0.333 0.851
As1 0.000 0.000 0.500
Pt1 0.000 0.500 0.000
Pt2 0.167 0.333 0.288
Pt3 0.167 0.833 0.288
Pt4 0.333 0.167 0.712
Pt5 0.500 0.000 0.000
Pt6 0.500 0.500 0.000
Pt7 0.667 0.833 0.288
Pt8 0.833 0.167 0.712
Pt9 0.833 0.667 0.712
```

Output
- ΔE_f (eV/atom) = -0.789
- E (eV per atom) = -6.56
- SG = P-3m1



No. 7
Sr2BAsPt6 | GGA-PBE | relaxed

CIF file:
```
data_Sr2BAsPt6
_chemical_formula_sum 'Sr2 B1 As1 Pt6'
_cell_length_a 6.789
_cell_length_b 6.789
_cell_length_c 6.789
_cell_angle_alpha 128.33
_cell_angle_beta 128.33
_cell_angle_gamma 76.08
_symmetry_space_group_name_H-M 'P 1'
_symmetry_Int_Tables_number 1
loop_
_symmetry_equiv_pos_as_xyz
'x,y,z'
loop_
_atom_site_label
_atom_site_fract_x
_atom_site_fract_y
_atom_site_fract_z
Sr1 0.000 0.500 0.500
Sr2 0.500 0.000 0.500
B1 0.146 0.146 0.000
As1 0.646 0.646 0.000
Pt1 0.010 0.010 0.524
Pt2 0.010 0.485 0.000
Pt3 0.426 0.426 0.000
Pt4 0.485 0.010 0.000
Pt5 0.485 0.485 0.476
Pt6 0.951 0.951 0.000
```

Output
- ΔE_f (eV/atom) = -0.672
- E (eV per atom) = -5.77
- SG = I4mm



No. 8
SrBAsPt6 | GGA-PBE | relaxed

CIF file:
```
data_SrBAsPt6
_chemical_formula_sum 'Sr2 B2 As2 Pt12'
_cell_length_a 7.939
_cell_length_b 7.939
_cell_length_c 7.939
_cell_angle_alpha 123.85
_cell_angle_beta 118.27
_cell_angle_gamma 88.24
_symmetry_space_group_name_H-M 'P 1'
_symmetry_Int_Tables_number 1
loop_
_symmetry_equiv_pos_as_xyz
'x,y,z'
loop_
_atom_site_label
_atom_site_fract_x
_atom_site_fract_y
_atom_site_fract_z
Sr1 0.420 0.170 0.250
Sr2 0.580 0.830 0.750
B1 0.000 0.500 0.500
B2 0.500 0.500 0.000
As1 0.000 0.000 0.500
As2 0.000 0.500 0.000
Pt1 0.097 0.405 0.263
Pt2 0.097 0.834 0.692
Pt3 0.135 0.885 0.250
Pt4 0.312 0.562 0.750
Pt5 0.358 0.166 0.763
Pt6 0.358 0.595 0.192
Pt7 0.642 0.405 0.808
Pt8 0.642 0.834 0.237
Pt9 0.688 0.438 0.250
Pt10 0.865 0.115 0.750
Pt11 0.903 0.166 0.308
Pt12 0.903 0.595 0.737
```

Output
- ΔE_f (eV/atom) = -0.325
- E (eV per atom) = -5.80
- SG = Imma



No. 9
Tb2BAsPt6 | GGA-PBE | relaxed

CIF file:
```
data_Tb2BAsPt6
_chemical_formula_sum 'Tb4 B2 As2 Pt12'
_cell_length_a 5.712
_cell_length_b 8.507
_cell_length_c 7.455
_cell_angle_alpha 90.00
_cell_angle_beta 90.00
_cell_angle_gamma 90.00
_symmetry_space_group_name_H-M 'P 1'
_symmetry_Int_Tables_number 1
loop_
_symmetry_equiv_pos_as_xyz
'x,y,z'
loop_
_atom_site_label
_atom_site_fract_x
_atom_site_fract_y
_atom_site_fract_z
Tb1 0.250 0.031 0.225
Tb2 0.250 0.469 0.225
Tb3 0.750 0.531 0.775
Tb4 0.750 0.969 0.775
B1 0.250 0.250 0.703
B2 0.750 0.750 0.297
As1 0.250 0.750 0.819
As2 0.750 0.250 0.181
Pt1 0.005 0.750 0.501
Pt2 0.008 0.250 0.919
Pt3 0.250 0.001 0.653
Pt4 0.250 0.499 0.653
Pt5 0.492 0.250 0.919
Pt6 0.495 0.750 0.501
Pt7 0.505 0.250 0.499
Pt8 0.508 0.750 0.081
Pt9 0.750 0.501 0.347
Pt10 0.750 0.999 0.347
Pt11 0.992 0.750 0.081
Pt12 0.995 0.250 0.499
```

Output
- ΔE_f (eV/atom) = -0.850
- E (eV per atom) = -6.53
- SG = Pmmn



No. 10
Tb3B2AsPt9 | GGA-PBE | relaxed

CIF file:
```
data_Tb3B2AsPt9
_chemical_formula_sum 'Tb3 B2 As1 Pt9'
_cell_length_a 5.761
_cell_length_b 5.761
_cell_length_c 9.202
_cell_angle_alpha 90.00
_cell_angle_beta 90.00
_cell_angle_gamma 120.00
_symmetry_space_group_name_H-M 'P 1'
_symmetry_Int_Tables_number 1
loop_
_symmetry_equiv_pos_as_xyz
'x,y,z'
loop_
_atom_site_label
_atom_site_fract_x
_atom_site_fract_y
_atom_site_fract_z
Tb1 0.000 0.000 0.000
Tb2 0.333 0.667 0.604
Tb3 0.667 0.333 0.396
B1 0.333 0.667 0.149
B2 0.667 0.333 0.851
As1 0.000 0.000 0.500
Pt1 0.000 0.500 0.000
Pt2 0.166 0.333 0.289
Pt3 0.166 0.834 0.289
Pt4 0.333 0.166 0.711
Pt5 0.500 0.000 0.000
Pt6 0.500 0.500 0.000
Pt7 0.667 0.834 0.289
Pt8 0.834 0.166 0.711
Pt9 0.834 0.667 0.711
```

Output
- ΔE_f (eV/atom) = -0.809
- E (eV per atom) = -6.56
- SG = P-3m1



No. 11
Th2BAsPt6 | GGA-PBE | relaxed

CIF file:
```
data_Th2BAsPt6
_chemical_formula_sum 'Th4 B2 As2 Pt12'
_cell_length_a 6.456
_cell_length_b 8.344
_cell_length_c 6.934
_cell_angle_alpha 90.00
_cell_angle_beta 90.00
_cell_angle_gamma 90.00
_symmetry_space_group_name_H-M 'P 1'
_symmetry_Int_Tables_number 1
loop_
_symmetry_equiv_pos_as_xyz
'x,y,z'
loop_
_atom_site_label
_atom_site_fract_x
_atom_site_fract_y
_atom_site_fract_z
Th1 0.250 0.019 0.224
Th2 0.250 0.481 0.224
Th3 0.750 0.519 0.776
Th4 0.750 0.981 0.776
B1 0.250 0.250 0.644
B2 0.750 0.750 0.356
As1 0.250 0.750 0.872
As2 0.750 0.250 0.128
Pt1 0.029 0.750 0.506
Pt2 0.043 0.250 0.907
Pt3 0.250 0.501 0.677
Pt4 0.250 0.999 0.677
Pt5 0.457 0.250 0.907
Pt6 0.471 0.750 0.506
Pt7 0.529 0.250 0.494
Pt8 0.543 0.750 0.093
Pt9 0.750 0.001 0.323
Pt10 0.750 0.499 0.323
Pt11 0.957 0.750 0.093
Pt12 0.971 0.250 0.494
```

Output
- ΔE_f (eV/atom) = -0.881
- E (eV per atom) = -7.12
- SG = Pmmn



No. 12
ZnB2AsPt | GGA-PBE | relaxed

CIF file:
```
data_ZnB2AsPt
_chemical_formula_sum 'Zn1 B2 As1 Pt1'
_cell_length_a 3.987
_cell_length_b 3.987
_cell_length_c 4.930
_cell_angle_alpha 90.00
_cell_angle_beta 90.00
_cell_angle_gamma 90.00
_symmetry_space_group_name_H-M 'P 1'
_symmetry_Int_Tables_number 1
loop_
_symmetry_equiv_pos_as_xyz
'x,y,z'
loop_
_atom_site_label
_atom_site_fract_x
_atom_site_fract_y
_atom_site_fract_z
Zn1 0.000 0.000 0.000
B1 0.000 0.500 0.500
B2 0.500 0.000 0.500
As1 0.000 0.000 0.500
Pt1 0.500 0.500 0.000
```

Output
- ΔE_f (eV/atom) = 1.463
- E (eV per atom) = -3.60
- SG = P4/mmm



Quick rundown of DOS at the Fermi energy, same order as above: 3.227, 2.126, 1.985, 5.117, 7.188, 5.045, 1.673, 3.438, 7.368, 4.837, 7.910, 3.391 states/eV/cell